This record from Alexandria describes a relaxed structure of LaIn2Ni. The functional is GGA-PBE.

abc: 5.077 5.077 5.077
angles: 120.25 120.25 89.57
Positions (direct):
La  0.000  0.000  0.000
In  0.500  0.500  0.000
In  0.750  0.250  0.500
Ni  0.250  0.750  0.500

Properties
Symmetry: I-4m2, No. 119

=====

This record from Alexandria describes a relaxed structure of LaInNi2. The functional is GGA-PBE.

abc: 4.843 4.843 4.843
angles: 60.00 60.00 60.00
Positions (direct):
La  0.000  0.000  0.000
In  0.250  0.250  0.250
Ni  0.500  0.500  0.500
Ni  0.750  0.750  0.750

Properties
Symmetry: F-43m, No. 216

=====

This record from Alexandria describes a relaxed structure of La8InNi2. The functional is GGA-PBE.

abc: 8.396 8.396 5.370
angles: 97.02 97.02 113.77
Positions (direct):
La  0.000  0.000  0.000
La  0.089  0.326  0.633
La  0.125  0.640  0.207
La  0.326  0.089  0.633
La  0.457  0.714  0.755
La  0.640  0.125  0.207
La  0.714  0.457  0.755
La  0.790  0.790  0.415
In  0.397  0.397  0.197
Ni  0.096  0.717  0.717
Ni  0.717  0.096  0.717

Properties
Symmetry: Cm, No. 8

=====

| no. | energy (eV/atom) |
| --- | --- |
| 1 | -4.261 |
| 2 | -4.697 |
| 3 | -5.042 |